Na3ZrF7 at its PBEsol-relaxed geometry, computed with SCAN.

## Properties
For the calculated total energy, the calculation gives -9.667 eV per atom. The value obtained for the calculated volume is 13.79 Å³/atom. As for the raw formation energy: -335.2 kJ/mol of atoms. Its space-group type is No. 8. The magnetic moment is 0.000 μB/atom.

Lattice parameters (Å, degrees): 5.4242 5.4242 6.2416 66.68 66.68 90.76
Closest atoms and distances in Å follow each position.
Fractional positions:
Na  0.5152  0.5152  0.9525  5 F 2.25-2.29
Na  0.2242  0.7631  0.5102  7 F 2.33-2.48
Na  0.7631  0.2242  0.5102  7 F 2.33-2.48
F  0.8523  0.8523  0.8409  1 Zr 2.06, 1 Na 2.25
F  0.3766  0.3766  0.7109  1 Zr 2.08, 3 Na 2.28-2.33
F  0.6693  0.0213  0.2496  1 Zr 2.05
F  0.1548  0.1548  0.2138  1 Zr 2.08, 1 Na 2.27
F  0.0213  0.6693  0.2496  1 Zr 2.05
F  0.8942  0.3564  0.7702  1 Zr 2.07, 1 Na 2.29
F  0.3564  0.8942  0.7702  1 Zr 2.07, 1 Na 2.29
Zr  0.0474  0.0474  0.9720  7 F 2.05-2.08

=====

NaZr3F at its PBEsol-relaxed geometry, computed with SCAN.

## Properties
For the calculated total energy, the calculation gives -18.514 eV per atom. The value obtained for the calculated volume is 24.72 Å³/atom. As for the raw formation energy: 140.5 kJ/mol of atoms. Its space-group type is No. 221. The magnetic moment is 0.653 μB/atom.

Lattice parameters (Å, degrees): 4.9812 4.9812 4.9812 90.00 90.00 90.00
Closest atoms and distances in Å follow each position.
Fractional positions:
Na  0.0000  0.0000  0.0000  6 Zr 2.49
Zr  0.0000  0.5000  0.0000  2 Na 2.49
Zr  0.5000  0.0000  0.0000  2 Na 2.49
Zr  0.0000  0.0000  0.5000  2 Na 2.49
F  0.5000  0.5000  0.5000  12 Zr 3.52

=====

Nb2F5 at its PBEsol-relaxed geometry, computed with SCAN.

## Properties
For the calculated total energy, the calculation gives -14.860 eV per atom. The value obtained for the calculated volume is 13.28 Å³/atom. As for the raw formation energy: -276.5 kJ/mol of atoms. Its space-group type is No. 229. The magnetic moment is 0.048 μB/atom.

Lattice parameters (Å, degrees): 7.1285 7.1285 7.1285 109.47 109.47 109.47
Closest atoms and distances in Å follow each position.
Fractional positions:
F  0.7483  0.0000  0.2517  2 Nb 2.07
F  0.2517  0.5034  0.2517  2 Nb 2.07
F  0.7483  0.4966  0.7483  2 Nb 2.07
F  0.0000  0.7483  0.2517  2 Nb 2.07
F  0.7483  0.7483  0.4966  2 Nb 2.07
F  0.0000  0.5000  0.5000  2 Nb 2.14
F  0.5000  0.0000  0.5000  2 Nb 2.14
F  0.2517  0.0000  0.7483  2 Nb 2.07
F  0.2517  0.7483  0.0000  2 Nb 2.07
F  0.7483  0.2517  0.0000  2 Nb 2.07
F  0.5034  0.2517  0.2517  2 Nb 2.07
F  0.0000  0.2517  0.7483  2 Nb 2.07
F  0.5000  0.5000  0.0000  2 Nb 2.14
F  0.4966  0.7483  0.7483  2 Nb 2.07
F  0.2517  0.2517  0.5034  2 Nb 2.07
Nb  0.2404  0.2404  0.0000  5 F 2.07-2.14
Nb  0.0000  0.7596  0.7596  5 F 2.07-2.14
Nb  0.7596  0.0000  0.7596  5 F 2.07-2.14
Nb  0.2404  0.0000  0.2404  5 F 2.07-2.14
Nb  0.0000  0.2404  0.2404  5 F 2.07-2.14
Nb  0.7596  0.7596  0.0000  5 F 2.07-2.14

=====

Nb2SiNiF at its PBEsol-relaxed geometry, computed with SCAN.

## Properties
For the calculated total energy, the calculation gives -18.624 eV per atom. The value obtained for the calculated volume is 17.76 Å³/atom. As for the raw formation energy: 55.4 kJ/mol of atoms. Its space-group type is No. 123. The magnetic moment is 0.482 μB/atom.

Lattice parameters (Å, degrees): 3.9934 4.7153 4.7153 90.00 90.00 90.00
Closest atoms and distances in Å follow each position.
Fractional positions:
Ni  0.5000  0.0000  0.0000  2 Si 2.00
Nb  0.0000  0.0000  0.5000  2 Si 2.36
Nb  0.0000  0.5000  0.0000  2 Si 2.36
Si  0.0000  0.0000  0.0000  2 Ni 2.00
F  0.5000  0.5000  0.5000  8 Nb 3.09, 4 Ni 3.33

=====

Nb2OF8 at its PBEsol-relaxed geometry, computed with SCAN.

## Properties
For the calculated total energy, the calculation gives -12.216 eV per atom. The value obtained for the calculated volume is 15.97 Å³/atom. As for the raw formation energy: -294.4 kJ/mol of atoms. Its space-group type is No. 13. The magnetic moment is 0.008 μB/atom.

Lattice parameters (Å, degrees): 5.1743 9.2357 15.1351 103.67 90.00 90.00
Closest atoms and distances in Å follow each position.
Fractional positions:
F  0.6663  0.1031  0.1233  1 Nb 1.86
F  0.0577  0.5975  0.9301  1 Nb 1.87
F  0.4320  0.4548  0.3990  1 Nb 1.86
F  0.7530  0.3651  0.7172  2 Nb 2.02-2.25
F  0.8790  0.0525  0.9205  1 Nb 1.89
F  0.5680  0.5452  0.6010  1 Nb 1.86
F  0.3337  0.8969  0.8767  1 Nb 1.86
F  0.3337  0.1031  0.6233  1 Nb 1.86
F  0.3441  0.1874  0.9935  1 Nb 1.86
F  0.8413  0.5000  0.2500  2 Nb 2.11
F  0.0675  0.0000  0.7500  2 Nb 2.10
F  0.9325  0.0000  0.2500  2 Nb 2.10
F  0.8790  0.9475  0.5795  1 Nb 1.89
F  0.2470  0.6349  0.2828  2 Nb 2.02-2.25
F  0.6559  0.8126  0.0065  1 Nb 1.86
F  0.6559  0.1874  0.4935  1 Nb 1.86
F  0.9423  0.5975  0.4301  1 Nb 1.87
F  0.6663  0.8969  0.3767  1 Nb 1.86
F  0.5147  0.1489  0.3132  1 Nb 1.89
F  0.4320  0.5452  0.1010  1 Nb 1.86
F  0.0577  0.4025  0.5699  1 Nb 1.87
F  0.4853  0.1489  0.8132  1 Nb 1.89
F  0.7530  0.6349  0.7828  2 Nb 2.02-2.25
F  0.5680  0.4548  0.8990  1 Nb 1.86
F  0.3441  0.8126  0.5065  1 Nb 1.86
F  0.5147  0.8511  0.1868  1 Nb 1.89
F  0.4853  0.8511  0.6868  1 Nb 1.89
F  0.1210  0.9475  0.0795  1 Nb 1.89
F  0.9423  0.4025  0.0699  1 Nb 1.87
F  0.1587  0.5000  0.7500  2 Nb 2.11
F  0.1210  0.0525  0.4205  1 Nb 1.89
F  0.2470  0.3651  0.2172  2 Nb 2.02-2.25
O  0.0388  0.7169  0.6382  1 Nb 1.79
O  0.9612  0.7169  0.1382  1 Nb 1.79
O  0.0388  0.2831  0.8618  1 Nb 1.79
O  0.9612  0.2831  0.3618  1 Nb 1.79
Nb  0.1093  0.4489  0.3436  1 O 1.79, 2 F 1.86-1.87
Nb  0.8907  0.5511  0.6564  1 O 1.79, 2 F 1.86-1.87
Nb  0.7852  0.0887  0.3809  4 F 1.86-1.89
Nb  0.2148  0.0887  0.8809  4 F 1.86-1.89
Nb  0.7852  0.9113  0.1191  4 F 1.86-1.89
Nb  0.8907  0.4489  0.8436  1 O 1.79, 2 F 1.86-1.87
Nb  0.1093  0.5511  0.1564  1 O 1.79, 2 F 1.86-1.87
Nb  0.2148  0.9113  0.6191  4 F 1.86-1.89

=====

Nb6O15F at its PBEsol-relaxed geometry, computed with SCAN.

## Properties
For the calculated total energy, the calculation gives -16.046 eV per atom. The value obtained for the calculated volume is 13.75 Å³/atom. As for the raw formation energy: -250.9 kJ/mol of atoms. Its space-group type is No. 51. The magnetic moment is 0.000 μB/atom.

Lattice parameters (Å, degrees): 3.9311 9.0716 16.9693 90.00 90.00 90.00
Closest atoms and distances in Å follow each position.
Fractional positions:
O  0.0000  0.8730  0.3227  3 Nb 2.05-2.10
O  0.0000  0.0000  0.0000  2 Nb 1.94
O  0.0000  0.6665  0.5193  2 Nb 1.92-1.93
O  0.5000  0.8241  0.4335  2 Nb 1.97
O  0.5000  0.8241  0.0665  2 Nb 1.97
O  0.0000  0.0000  0.5000  2 Nb 1.94
O  0.0000  0.3756  0.8649  3 Nb 2.03-2.17
O  0.5000  0.9574  0.7500  2 Nb 1.97
O  0.0000  0.1270  0.8227  3 Nb 2.05-2.10
O  0.5000  0.5841  0.8721  2 Nb 1.97
O  0.0000  0.3756  0.6351  3 Nb 2.03-2.17
O  0.5000  0.1759  0.9335  2 Nb 1.97
O  0.0000  0.4663  0.2500  3 Nb 2.00-2.18
O  0.0000  0.6665  0.9807  2 Nb 1.92-1.93
O  0.0000  0.3335  0.4807  2 Nb 1.92-1.93
O  0.0000  0.7989  0.6671  2 Nb 1.90-1.93
O  0.0000  0.3335  0.0193  2 Nb 1.92-1.93
O  0.0000  0.6244  0.1351  3 Nb 2.03-2.17
O  0.0000  0.7989  0.8329  2 Nb 1.90-1.93
O  0.5000  0.4159  0.1279  2 Nb 1.97
O  0.0000  0.5337  0.7500  3 Nb 2.00-2.18
O  0.0000  0.2011  0.1671  2 Nb 1.90-1.93
O  0.5000  0.5841  0.6279  2 Nb 1.97
O  0.0000  0.8730  0.1773  3 Nb 2.05-2.10
O  0.5000  0.0426  0.2500  2 Nb 1.97
O  0.0000  0.6244  0.3649  3 Nb 2.03-2.17
O  0.5000  0.1759  0.5665  2 Nb 1.97
O  0.5000  0.4159  0.3721  2 Nb 1.97
O  0.0000  0.2011  0.3329  2 Nb 1.90-1.93
O  0.0000  0.1270  0.6773  3 Nb 2.05-2.10
Nb  0.0000  0.3999  0.1268  5 O 1.92-2.04
Nb  0.0000  0.6001  0.6268  5 O 1.92-2.04
Nb  0.0000  0.8180  0.0603  5 O 1.93-2.05
Nb  0.0000  0.8180  0.4397  5 O 1.93-2.05
Nb  0.0000  0.6871  0.2500  2 F 1.97, 5 O 2.00-2.09
Nb  0.0000  0.3129  0.7500  2 F 1.97, 5 O 2.00-2.09
Nb  0.0000  0.1820  0.5603  5 O 1.93-2.05
Nb  0.0000  0.3999  0.3732  5 O 1.92-2.04
Nb  0.0000  0.1820  0.9397  5 O 1.93-2.05
Nb  0.0000  0.0600  0.2500  6 O 1.90-2.10
Nb  0.0000  0.9400  0.7500  6 O 1.90-2.10
Nb  0.0000  0.6001  0.8732  5 O 1.92-2.04
F  0.5000  0.6986  0.2500  2 Nb 1.97
F  0.5000  0.3014  0.7500  2 Nb 1.97

=====

Q: Look up the calculated total energy of the fourth one.
A: -18.624 eV per atom

=====

What did the fifth record say?
Nb2OF8 at its PBEsol-relaxed geometry, computed with SCAN.

## Properties
For the calculated total energy, the calculation gives -12.216 eV per atom. The value obtained for the calculated volume is 15.97 Å³/atom. As for the raw formation energy: -294.4 kJ/mol of atoms. Its space-group type is No. 13. The magnetic moment is 0.008 μB/atom.

Lattice parameters (Å, degrees): 5.1743 9.2357 15.1351 103.67 90.00 90.00
Closest atoms and distances in Å follow each position.
Fractional positions:
F  0.6663  0.1031  0.1233  1 Nb 1.86
F  0.0577  0.5975  0.9301  1 Nb 1.87
F  0.4320  0.4548  0.3990  1 Nb 1.86
F  0.7530  0.3651  0.7172  2 Nb 2.02-2.25
F  0.8790  0.0525  0.9205  1 Nb 1.89
F  0.5680  0.5452  0.6010  1 Nb 1.86
F  0.3337  0.8969  0.8767  1 Nb 1.86
F  0.3337  0.1031  0.6233  1 Nb 1.86
F  0.3441  0.1874  0.9935  1 Nb 1.86
F  0.8413  0.5000  0.2500  2 Nb 2.11
F  0.0675  0.0000  0.7500  2 Nb 2.10
F  0.9325  0.0000  0.2500  2 Nb 2.10
F  0.8790  0.9475  0.5795  1 Nb 1.89
F  0.2470  0.6349  0.2828  2 Nb 2.02-2.25
F  0.6559  0.8126  0.0065  1 Nb 1.86
F  0.6559  0.1874  0.4935  1 Nb 1.86
F  0.9423  0.5975  0.4301  1 Nb 1.87
F  0.6663  0.8969  0.3767  1 Nb 1.86
F  0.5147  0.1489  0.3132  1 Nb 1.89
F  0.4320  0.5452  0.1010  1 Nb 1.86
F  0.0577  0.4025  0.5699  1 Nb 1.87
F  0.4853  0.1489  0.8132  1 Nb 1.89
F  0.7530  0.6349  0.7828  2 Nb 2.02-2.25
F  0.5680  0.4548  0.8990  1 Nb 1.86
F  0.3441  0.8126  0.5065  1 Nb 1.86
F  0.5147  0.8511  0.1868  1 Nb 1.89
F  0.4853  0.8511  0.6868  1 Nb 1.89
F  0.1210  0.9475  0.0795  1 Nb 1.89
F  0.9423  0.4025  0.0699  1 Nb 1.87
F  0.1587  0.5000  0.7500  2 Nb 2.11
F  0.1210  0.0525  0.4205  1 Nb 1.89
F  0.2470  0.3651  0.2172  2 Nb 2.02-2.25
O  0.0388  0.7169  0.6382  1 Nb 1.79
O  0.9612  0.7169  0.1382  1 Nb 1.79
O  0.0388  0.2831  0.8618  1 Nb 1.79
O  0.9612  0.2831  0.3618  1 Nb 1.79
Nb  0.1093  0.4489  0.3436  1 O 1.79, 2 F 1.86-1.87
Nb  0.8907  0.5511  0.6564  1 O 1.79, 2 F 1.86-1.87
Nb  0.7852  0.0887  0.3809  4 F 1.86-1.89
Nb  0.2148  0.0887  0.8809  4 F 1.86-1.89
Nb  0.7852  0.9113  0.1191  4 F 1.86-1.89
Nb  0.8907  0.4489  0.8436  1 O 1.79, 2 F 1.86-1.87
Nb  0.1093  0.5511  0.1564  1 O 1.79, 2 F 1.86-1.87
Nb  0.2148  0.9113  0.6191  4 F 1.86-1.89